1.
Ac2SmErTe5 | PBE | relaxed

The formation energy without anion corrections is -1.03 eV/atom.

It has space group P4/mmm (No. 123), with a = 5.475 Å, b = 5.475 Å, c = 11.748 Å, α = 90.00°, β = 90.00° and γ = 90.00°. Symmetry generates all atoms from Ac at (0.000, 0.000, 0.202), Sm at (0.500, 0.500, 0.500), Er at (0.500, 0.500, 0.000), Te at (0.000, 0.000, 0.500), Te at (0.000, 0.500, 0.000) and Te at (0.500, 0.500, 0.252).


2.
Ac2Sm3ErTe6 | PBE | relaxed

The formation energy without anion corrections is -1.37 eV/atom.

It has space group C2/m (No. 12), with a = 19.652 Å, b = 4.479 Å, c = 9.141 Å, α = 90.00°, β = 102.51° and γ = 90.00°. Symmetry generates all atoms from Ac at (0.166, 0.000, 0.334), Sm at (0.000, 0.500, 0.500), Sm at (0.175, 0.000, 0.838), Er at (0.000, 0.500, 0.000), Te at (0.007, 0.000, 0.762), Te at (0.160, 0.500, 0.067) and Te at (0.162, 0.500, 0.595).


3.
Ac3Sm3ErTe8 | PBE | relaxed

The formation energy without anion corrections is -1.45 eV/atom.

It has space group R-3m (No. 166, hexagonal axes), with a = 9.0364 Å, b = 9.0364 Å, c = 22.7852 Å, α = 90.00°, β = 90.00° and γ = 120.00°. Symmetry generates all atoms from Ac at (0.0000, 0.5000, 0.0000), Sm at (0.0000, 0.5000, 0.5000), Er at (0.0000, 0.0000, 0.5000), Te at (0.0000, 0.0000, 0.2438) and Te at (0.0006, 0.5003, 0.2439).


4.
AcSmEr2Tl4 | PBE | relaxed

The calculation puts the total energy at -89.8 eV/cell.

It has space group R-3m (No. 166, hexagonal axes), with a = 5.4995 Å, b = 5.4995 Å, c = 27.1040 Å, α = 90.00°, β = 90.00° and γ = 120.00°. Symmetry generates all atoms from Ac at (0.0000, 0.0000, 0.0000), Sm at (0.0000, 0.0000, 0.5000), Er at (0.0000, 0.0000, 0.2489), Tl at (0.0000, 0.0000, 0.1279) and Tl at (0.0000, 0.0000, 0.3789).


5.
AcSm2ErTl4 | PBE | relaxed

The calculation puts the total energy at -90.6 eV/cell.

It has space group R-3m (No. 166, hexagonal axes), with a = 5.5263 Å, b = 5.5263 Å, c = 27.3613 Å, α = 90.00°, β = 90.00° and γ = 120.00°. Symmetry generates all atoms from Ac at (0.0000, 0.0000, 0.0000), Sm at (0.0000, 0.0000, 0.2480), Er at (0.0000, 0.0000, 0.5000), Tl at (0.0000, 0.0000, 0.1285) and Tl at (0.0000, 0.0000, 0.3803).


6.
AcSm6Er2Tm | PBE | relaxed

The calculation puts the total energy at -179.1 eV/cell.

It has space group C2/c (No. 15), with a = 9.341 Å, b = 15.359 Å, c = 9.601 Å, α = 90.00°, β = 95.16° and γ = 90.00°. Symmetry generates all atoms from Ac at (0.000, 0.028, 0.250), Sm at (0.059, 0.186, 0.945), Sm at (0.101, 0.389, 0.117), Sm at (0.219, 0.226, 0.316), Er at (0.238, 0.444, 0.452) and Tm at (0.000, 0.414, 0.750).


7.
AcSmEr2Tm4 | PBE | relaxed

The calculation puts the total energy at -35.4 eV/cell.

It has space group Pmmm (No. 47), with a = 5.065 Å, b = 5.100 Å, c = 10.012 Å, α = 90.00°, β = 90.00° and γ = 90.00°. Symmetry generates all atoms from Ac at (0.000, 0.000, 0.000), Sm at (0.500, 0.500, 0.500), Er at (0.000, 0.000, 0.500), Er at (0.500, 0.500, 0.000), Tm at (0.000, 0.500, 0.257) and Tm at (0.500, 0.000, 0.258).


8.
AcSm3ErTm | PBE | relaxed

The calculation puts the total energy at -104.0 eV/cell.

It has space group C2/m (No. 12), with a = 23.043 Å, b = 5.417 Å, c = 7.109 Å, α = 90.00°, β = 98.30° and γ = 90.00°. Symmetry generates all atoms from Ac at (0.126, 0.000, 0.481), Sm at (0.021, 0.000, 0.784), Sm at (0.178, 0.500, 0.785), Sm at (0.225, 0.500, 0.308), Er at (0.166, 0.000, 0.026) and Tm at (0.075, 0.500, 0.113).